Entry 1:
The following is a GGA-PBE calculation of a geometry-optimized TbZnGe2 structure, from the Alexandria database.

```
TbZnGe2
1.0
-1.147 0.381 -3.932
3.335 -2.521 -1.217
-2.523 -3.527 0.394
Zn Tb Ge
1 1 2
Direct
0.500 0.000 0.000
0.500 0.500 0.500
0.000 0.000 0.500
0.000 0.500 0.000
```

Properties
Space group: No. 123
E_form, eV per atom: -0.4420



Entry 2:
The following is a GGA-PBE calculation of a geometry-optimized TaVTe2N structure, from the Alexandria database.

```
TaVTe2N
1.0
5.328 0.000 0.000
0.000 5.328 0.000
0.000 0.000 3.585
V Te N Ta
1 2 1 1
Direct
0.000 0.000 0.000
0.000 0.500 0.000
0.500 0.000 0.000
0.000 0.000 0.500
0.500 0.500 0.500
```

Properties
Final energy, eV/atom: -6.632
Space group: No. 123